# 1
Pm2SbCl2 | the Alexandria database | PBE-GGA | relaxed; DOS(E_F) = 2.035 states/eV/cell; uncorrected energy = -0.1893 hartree per atom
1.0
2.144 1.238 10.310
-2.144 1.238 10.310
0.000 -2.476 10.310
Pm Sb Cl
2 1 2
Direct
0.108 0.108 0.108
0.892 0.892 0.892
0.500 0.500 0.500
0.276 0.276 0.276
0.724 0.724 0.724

# 2
YAgP2 | the Alexandria database | PBE-GGA | relaxed; DOS(E_F) = 3.498 states/eV/cell; ΔH_f (0 K) = -218 meV/atom; uncorrected energy = -0.1930 hartree per atom
1.0
-2.410 2.410 7.891
2.410 -2.410 7.891
2.410 2.410 -7.891
Y Ag P
2 2 4
Direct
0.000 0.000 0.000
0.750 0.250 0.500
0.250 0.750 0.500
0.500 0.500 0.000
0.190 0.625 0.065
0.375 0.440 0.565
0.560 0.125 0.935
0.875 0.810 0.435